Record 1
Below is a relaxed CaRhCl crystal, with properties calculated at the GGA-PBE level.

Cell: 6.290 6.290 6.073 Å, 90.00 90.00 90.00°
Positions (direct):
Ca 0.634 0.250 0.875
Ca 0.866 0.750 0.375
Ca 0.366 0.750 0.125
Ca 0.134 0.250 0.625
Rh 0.285 0.250 0.167
Rh 0.215 0.750 0.667
Rh 0.715 0.750 0.833
Rh 0.785 0.250 0.333
Cl 0.000 0.000 0.000
Cl 0.500 0.500 0.500
Cl 0.500 0.000 0.500
Cl 0.000 0.500 0.000

## Properties
Formation energy (no corrections) ... -447 meV/atom
Offset from the most stable computed form ... 728 meV/atom

Record 2
Below is a relaxed BaLaSc3 crystal, with properties calculated at the GGA-PBE level.

Cell: 5.563 5.563 5.563 Å, 90.00 90.00 90.00°
Positions (direct):
Sc 0.000 0.500 0.000
Sc 0.000 0.000 0.500
Sc 0.500 0.000 0.000
Ba 0.500 0.500 0.500
La 0.000 0.000 0.000

## Properties
Offset from the most stable computed form ... 0 meV/atom
Energy relative to the elements ... 612 meV/atom

Record 3
Below is a relaxed La2AlZnFe crystal, with properties calculated at the GGA-PBE level.

Cell: 5.179 5.179 4.720 Å, 90.00 90.00 90.00°
Positions (direct):
Zn 0.500 0.500 0.500
Al 0.000 0.000 0.500
Fe 0.000 0.000 0.000
La 0.000 0.500 0.000
La 0.500 0.000 0.000

## Properties
Energy relative to the elements ... -129 meV/atom

Record 4
Below is a relaxed USiHRh2 crystal, with properties calculated at the GGA-PBE level.

Cell: 3.952 5.787 6.695 Å, 90.00 90.00 109.96°
Last column: magnetic moment on the atom in μB.
Positions (direct):
U 0.423 0.846 0.750  1.86
U 0.577 0.154 0.250  1.86
Si 0.702 0.404 0.750  -0.01
Si 0.298 0.596 0.250  -0.01
H 0.000 0.000 0.000  -0.01
H 0.000 0.000 0.500  -0.01
Rh 0.159 0.319 0.959  -0.12
Rh 0.841 0.681 0.041  -0.12
Rh 0.159 0.319 0.541  -0.12
Rh 0.841 0.681 0.459  -0.12

## Properties
Total DFT energy (no corrections) ... -37.70 eV/f.u.

Record 5
Below is a relaxed TmCoSnIr crystal, with properties calculated at the GGA-PBE level.

Cell: 4.617 4.617 4.617 Å, 60.00 60.00 60.00°
Last column: magnetic moment on the atom in μB.
Positions (direct):
Co 0.000 0.000 0.000  1.03
Ir 0.500 0.500 0.500  0.16
Tm 0.750 0.750 0.750  -0.11
Sn 0.250 0.250 0.250  -0.01

## Properties
Energy relative to the elements ... -464 meV/atom

Record 6
Below is a relaxed BaTaPb2O8 crystal, with properties calculated at the GGA-PBE level.

Cell: 5.121 4.787 7.406 Å, 89.97 89.99 88.20°
Last column: magnetic moment on the atom in μB.
Positions (direct):
Ba 0.000 0.000 0.500  0.00
Ta 0.000 0.000 0.000  0.00
Pb 0.500 0.500 0.775  0.00
Pb 0.500 0.500 0.225  0.00
O 0.163 0.774 0.197  0.00
O 0.687 0.742 0.000  0.00
O 0.837 0.226 0.197  0.00
O 0.837 0.226 0.803  0.00
O 0.313 0.258 0.000  0.00
O 0.163 0.774 0.803  0.00
O 0.534 0.740 0.500  0.07
O 0.466 0.260 0.500  0.07

## Properties
Formation energy (no corrections) ... -1582 meV/atom

Record 7
Below is a relaxed Pm8Pr4Dy crystal, with properties calculated at the GGA-PBE level.

Cell: 11.319 11.319 7.938 Å, 90.00 135.47 120.00°
Last column: magnetic moment on the atom in μB.
Positions (direct):
Pm 0.526 0.763 0.288  0.06
Pm 0.474 0.237 0.712  0.06
Pm 0.471 0.236 0.224  0.06
Pm 0.012 0.247 0.776  0.06
Pm 0.529 0.764 0.776  0.06
Pm 0.012 0.764 0.776  0.06
Pm 0.988 0.236 0.224  0.06
Pm 0.988 0.753 0.224  0.06
Pr 0.000 0.000 0.000  -0.04
Pr 0.000 0.500 0.000  0.16
Pr 0.500 0.500 0.000  0.16
Pr 0.500 0.000 0.000  0.16
Dy 0.000 0.500 0.500  0.04

## Properties
Energy relative to the elements ... 482 meV/atom

Record 8
Below is a relaxed PrB4ClO8 crystal, with properties calculated at the GGA-PBE level.

Cell: 6.577 6.577 9.810 Å, 81.66 81.66 119.64°
Last column: magnetic moment on the atom in μB.
Positions (direct):
Pr 0.203 0.792 0.497  -0.02
Pr 0.792 0.203 0.997  -0.02
B 0.133 0.240 0.419  0.00
B 0.240 0.133 0.919  0.00
B 0.353 0.844 0.855  -0.02
B 0.844 0.353 0.355  -0.02
B 0.754 0.947 0.375  -0.02
B 0.947 0.754 0.875  -0.02
B 0.498 0.565 0.930  0.00
B 0.565 0.498 0.430  0.00
Cl 0.965 0.328 0.693  0.10
Cl 0.328 0.965 0.193  0.10
O 0.662 0.096 0.421  0.20
O 0.096 0.662 0.921  0.20
O 0.551 0.698 0.436  0.03
O 0.698 0.551 0.936  0.03
O 0.971 0.001 0.430  0.02
O 0.001 0.971 0.930  0.02
O 0.280 0.353 0.944  0.00
O 0.353 0.280 0.444  0.00
O 0.515 0.784 0.912  0.02
O 0.784 0.515 0.412  0.02
O 0.087 0.419 0.381  0.01
O 0.419 0.087 0.881  0.01
O 0.819 0.010 0.219  0.61
O 0.010 0.819 0.719  0.61
O 0.373 0.852 0.703  0.70
O 0.852 0.373 0.203  0.70

## Properties
Formation energy (no corrections) ... -2246 meV/atom

Record 9
Below is a relaxed Pm2DyCrN4 crystal, with properties calculated at the GGA-PBE level.

Cell: 3.421 6.050 12.085 Å, 90.00 90.00 106.42°
Last column: magnetic moment on the atom in μB.
Positions (direct):
Pm 0.367 0.735 0.543  0.03
Pm 0.633 0.265 0.043  0.03
Pm 0.633 0.265 0.457  0.03
Pm 0.367 0.735 0.957  0.03
Dy 0.115 0.231 0.750  0.14
Dy 0.885 0.769 0.250  0.14
Cr 0.840 0.681 0.750  1.80
Cr 0.160 0.319 0.250  1.80
N 0.273 0.545 0.139  -0.01
N 0.727 0.455 0.639  -0.01
N 0.727 0.455 0.861  -0.01
N 0.273 0.545 0.361  -0.01
N 0.000 0.000 0.500  0.02
N 0.000 0.000 0.000  0.02
N 0.425 0.850 0.750  -0.08
N 0.575 0.150 0.250  -0.08

## Properties
Formation energy (no corrections) ... -1055 meV/atom

Record 10
Below is a relaxed Ac2HoTmTe5 crystal, with properties calculated at the GGA-PBE level.

Cell: 5.469 5.469 11.602 Å, 90.00 90.00 90.00°
Positions (direct):
Ac 0.500 0.500 0.296
Ac 0.500 0.500 0.704
Ho 0.000 0.000 0.000
Tm 0.000 0.000 0.500
Te 0.000 0.500 0.500
Te 0.500 0.000 0.500
Te 0.000 0.000 0.755
Te 0.000 0.000 0.245
Te 0.500 0.500 0.000

## Properties
Formation energy (no corrections) ... -1000 meV/atom

Record 11
Below is a relaxed ZrNpCo10 crystal, with properties calculated at the GGA-PBE level.

Cell: 3.976 4.796 8.289 Å, 90.00 90.00 90.00°
Last column: magnetic moment on the atom in μB.
Positions (direct):
Zr 0.000 0.000 0.000  -0.43
Np 0.000 0.500 0.500  -3.58
Co 0.000 0.000 0.338  1.31
Co 0.000 0.500 0.828  1.32
Co 0.000 0.500 0.172  1.32
Co 0.000 0.000 0.662  1.31
Co 0.500 0.000 0.500  1.44
Co 0.500 0.500 0.000  1.49
Co 0.500 0.245 0.245  1.46
Co 0.500 0.755 0.755  1.46
Co 0.500 0.755 0.245  1.46
Co 0.500 0.245 0.755  1.46

## Properties
Energy relative to the elements ... -72 meV/atom

Record 12
Below is a relaxed NaAsH3 crystal, with properties calculated at the GGA-PBE level.

Cell: 3.748 3.748 3.748 Å, 90.00 90.00 90.00°
Positions (direct):
Na 0.000 0.000 0.000
As 0.500 0.500 0.500
H 0.000 0.500 0.000
H 0.000 0.000 0.500
H 0.500 0.000 0.000

## Properties
Offset from the most stable computed form ... 870 meV/atom

Record 13
Below is a relaxed RbNa2Ag crystal, with properties calculated at the GGA-PBE level.

Cell: 5.107 7.025 9.336 Å, 90.00 90.00 111.08°
Positions (direct):
Rb 0.945 0.891 0.250
Rb 0.055 0.109 0.750
Na 0.331 0.662 0.561
Na 0.669 0.338 0.439
Na 0.331 0.662 0.939
Na 0.669 0.338 0.061
Ag 0.772 0.542 0.750
Ag 0.228 0.458 0.250

## Properties
Offset from the most stable computed form ... 0 meV/atom
Energy relative to the elements ... 13 meV/atom

Record 14
Below is a relaxed K2AgIBr6 crystal, with properties calculated at the GGA-PBE level.

Cell: 9.056 8.674 9.458 Å, 51.74 44.49 50.66°
Positions (direct):
K 0.581 0.564 0.223
K 0.051 0.068 0.880
Ag 0.816 0.817 0.552
I 0.317 0.316 0.051
Br 0.563 0.093 0.400
Br 0.102 0.054 0.231
Br 0.919 0.589 0.262
Br 0.531 0.577 0.871
Br 0.714 0.043 0.841
Br 0.068 0.540 0.704

## Properties
Formation energy (no corrections) ... -786 meV/atom

Record 15
Below is a relaxed VCo2HPt crystal, with properties calculated at the GGA-PBE level.

Cell: 3.691 3.691 3.766 Å, 90.00 90.00 90.00°
Last column: magnetic moment on the atom in μB.
Positions (direct):
H 0.000 0.000 0.000  0.00
Co 0.000 0.500 0.000  0.67
Co 0.500 0.000 0.000  0.67
Pt 0.500 0.500 0.500  0.04
V 0.000 0.000 0.500  0.04

## Properties
Offset from the most stable computed form ... 0 meV/atom

Record 16
Below is a relaxed Y15Ho4Tm crystal, with properties calculated at the GGA-PBE level.

Cell: 5.031 5.031 25.159 Å, 90.00 90.00 90.00°
Positions (direct):
Y 0.500 0.500 0.000
Y 0.500 0.500 0.200
Y 0.500 0.500 0.400
Y 0.500 0.500 0.600
Y 0.500 0.500 0.800
Y 0.500 0.000 0.100
Y 0.500 0.000 0.300
Y 0.500 0.000 0.500
Y 0.500 0.000 0.700
Y 0.500 0.000 0.900
Y 0.000 0.500 0.100
Y 0.000 0.500 0.300
Y 0.000 0.500 0.500
Y 0.000 0.500 0.700
Y 0.000 0.500 0.900
Ho 0.000 0.000 0.200
Ho 0.000 0.000 0.400
Ho 0.000 0.000 0.600
Ho 0.000 0.000 0.800
Tm 0.000 0.000 0.000

## Properties
Energy relative to the elements ... 25 meV/atom

Record 17
Below is a relaxed Ac3MgNi crystal, with properties calculated at the GGA-PBE level.

Cell: 7.330 10.801 9.940 Å, 114.76 90.00 90.00°
Positions (direct):
Ac 0.079 0.644 0.918
Ac 0.921 0.356 0.082
Ac 0.579 0.856 0.082
Ac 0.421 0.144 0.918
Ac 0.573 0.435 0.786
Ac 0.427 0.565 0.214
Ac 0.073 0.065 0.214
Ac 0.927 0.935 0.786
Ac 0.084 0.246 0.640
Ac 0.916 0.754 0.360
Ac 0.584 0.254 0.360
Ac 0.416 0.746 0.640
Mg 0.828 0.562 0.563
Mg 0.172 0.438 0.437
Mg 0.328 0.938 0.437
Mg 0.672 0.062 0.563
Ni 0.244 0.400 0.931
Ni 0.756 0.600 0.069
Ni 0.744 0.100 0.069
Ni 0.256 0.900 0.931

## Properties
Offset from the most stable computed form ... 29 meV/atom
Energy relative to the elements ... -72 meV/atom

Record 18
Below is a relaxed TiTc2Os2 crystal, with properties calculated at the GGA-PBE level.

Cell: 7.525 7.525 2.757 Å, 90.00 90.00 90.00°
Positions (direct):
Os 0.376 0.876 0.000
Os 0.876 0.624 0.000
Os 0.624 0.124 0.000
Os 0.124 0.376 0.000
Tc 0.172 0.672 0.500
Tc 0.672 0.828 0.500
Tc 0.828 0.328 0.500
Tc 0.328 0.172 0.500
Ti 0.000 0.000 0.000
Ti 0.500 0.500 0.000

## Properties
Offset from the most stable computed form ... 0 meV/atom
Energy relative to the elements ... 28 meV/atom

Record 19
Below is a relaxed CrAgSe2 crystal, with properties calculated at the GGA-PBE level.

Cell: 3.863 3.863 5.374 Å, 90.00 90.00 90.00°
Last column: magnetic moment on the atom in μB.
Positions (direct):
Ag 0.000 0.000 0.375  0.00
Cr 0.500 0.500 0.875  3.58
Se 0.000 0.000 0.875  -0.09
Se 0.500 0.500 0.375  -0.10

## Properties
Formation energy (no corrections) ... -155 meV/atom

Record 20
Below is a relaxed Cs2UIr3O12 crystal, with properties calculated at the GGA-PBE level.

Cell: 7.578 7.578 7.578 Å, 57.40 57.40 57.40°
Positions (direct):
Cs 0.618 0.618 0.618
Cs 0.382 0.382 0.382
U 0.000 0.000 0.000
Ir 0.500 0.000 0.000
Ir 0.000 0.500 0.000
Ir 0.000 0.000 0.500
O 0.310 0.310 0.923
O 0.929 0.929 0.333
O 0.333 0.929 0.929
O 0.923 0.310 0.310
O 0.929 0.333 0.929
O 0.310 0.923 0.310
O 0.690 0.690 0.077
O 0.071 0.071 0.667
O 0.667 0.071 0.071
O 0.077 0.690 0.690
O 0.071 0.667 0.071
O 0.690 0.077 0.690

## Properties
Formation energy (no corrections) ... -1469 meV/atom